A plane-wave DFT calculation with GGA+U was carried out for an optimized crystal structure of YCr2PbO8.

## Properties
The calculation puts the total magnetic moment at 1.00 μB per formula unit. The raw total energy is -7.105 eV/atom. The density of states at the Fermi level is 5.4 states/eV/cell.

Cell lengths 5.7356, 5.7356, 7.1516 Å; angles 90.00, 90.00, 120.00 degrees
Space group P-3 (No. 147)
One atom of each set of equivalent atoms:
1 Y 0.0000 0.0000 0.0000 (multiplicity 1)
2 Cr 0.3333 0.6667 0.2859 (multiplicity 2)
3 Pb 0.0000 0.0000 0.5000 (multiplicity 1)
4 O 0.1686 0.3389 0.2111 (multiplicity 6)
5 O 0.3333 0.6667 0.5148 (multiplicity 2)